Entry 1:
Here is Fe2AgIr at its PBEsol-relaxed geometry from Alexandria. Energies are from meta-GGA SCAN.

Unit cell a=2.695 b=4.566 c=4.682 alpha=99.94 beta=90.00 gamma=107.16
Last column: magnetic moment on the atom in μB.
Element x y z (fractional)
Ag 0.500 0.000 0.000  0.03
Fe 0.745 0.490 0.735  3.07
Fe 0.255 0.510 0.265  3.07
Ir 0.000 0.000 0.500  0.57

Computed properties:
Magnetic moment   1.64 μB per atom
Formation energy   0.231 eV/atom



Entry 2:
Here is TaGaTc2B at its PBEsol-relaxed geometry from Alexandria. Energies are from meta-GGA SCAN.

Unit cell a=4.070 b=4.070 c=4.250 alpha=90.00 beta=90.00 gamma=90.00
Element x y z (fractional)
Tc 0.000 0.500 0.000
Tc 0.500 0.000 0.000
B 0.000 0.000 0.000
Ga 0.500 0.500 0.500
Ta 0.000 0.000 0.500

Computed properties:
Magnetic moment   0.00 μB per atom
Formation energy   0.046 eV/atom



Entry 3:
Here is Ta2AuSe at its PBEsol-relaxed geometry from Alexandria. Energies are from meta-GGA SCAN.

Unit cell a=3.926 b=3.926 c=5.279 alpha=111.83 beta=111.83 gamma=90.00
Element x y z (fractional)
Se 0.250 0.750 0.500
Au 0.500 0.500 0.000
Ta 0.750 0.250 0.500
Ta 0.000 0.000 0.000

Computed properties:
Raw formation energy   1.16 eV per formula unit
Magnetic moment   0.00 μB per atom



Entry 4:
Here is Li2MgZn at its PBEsol-relaxed geometry from Alexandria. Energies are from meta-GGA SCAN.

Unit cell a=3.170 b=4.591 c=5.454 alpha=114.89 beta=106.89 gamma=90.00
Element x y z (fractional)
Li 0.731 0.731 0.461
Li 0.269 0.269 0.539
Zn 0.000 0.500 0.000
Mg 0.500 0.000 0.000

Computed properties:
Magnetic moment   0.00 μB per atom
Formation energy   -0.125 eV/atom



Entry 5:
Here is Ca2ZnF at its PBEsol-relaxed geometry from Alexandria. Energies are from meta-GGA SCAN.

Unit cell a=5.024 b=5.024 c=5.024 alpha=60.00 beta=60.00 gamma=60.00
Element x y z (fractional)
Ca 0.750 0.750 0.750
Ca 0.250 0.250 0.250
Zn 0.500 0.500 0.500
F 0.000 0.000 0.000

Computed properties:
Raw formation energy   -3.88 eV per formula unit
Magnetic moment   0.00 μB per atom



Entry 6:
Here is ZrZnTc at its PBEsol-relaxed geometry from Alexandria. Energies are from meta-GGA SCAN.

Unit cell a=4.234 b=4.234 c=4.234 alpha=60.00 beta=60.00 gamma=60.00
Element x y z (fractional)
Tc 0.500 0.500 0.500
Zn 0.250 0.250 0.250
Zr 0.000 0.000 0.000

Computed properties:
Magnetic moment   0.00 μB per atom
Formation energy   0.243 eV/atom



Entry 7:
Here is SrGa2Au2 at its PBEsol-relaxed geometry from Alexandria. Energies are from meta-GGA SCAN.

Unit cell a=4.446 b=4.446 c=10.525 alpha=90.00 beta=90.00 gamma=90.00
Element x y z (fractional)
Ga 0.500 0.500 0.500
Ga 0.500 0.000 0.872
Ga 0.000 0.000 0.500
Ga 0.000 0.500 0.128
Sr 0.500 0.000 0.250
Sr 0.000 0.500 0.750
Au 0.500 0.500 0.000
Au 0.000 0.000 0.000
Au 0.500 0.000 0.630
Au 0.000 0.500 0.370

Computed properties:
Magnetic moment   0.00 μB per atom
Formation energy   -0.758 eV/atom



Entry 8:
Here is KMnH5S2O10 at its PBEsol-relaxed geometry from Alexandria. Energies are from meta-GGA SCAN.

Unit cell a=4.649 b=5.835 c=8.227 alpha=103.27 beta=97.43 gamma=98.28
Last column: magnetic moment on the atom in μB.
Element x y z (fractional)
O 0.794 0.128 0.217  0.02
O 0.618 0.714 0.899  0.02
O 0.203 0.876 0.787  0.02
O 0.192 0.442 0.722  0.01
O 0.492 0.309 0.406  0.00
O 0.807 0.561 0.281  0.01
O 0.382 0.290 0.102  0.02
O 0.805 0.225 0.863  0.02
O 0.189 0.779 0.141  0.02
O 0.502 0.698 0.595  0.00
H 0.050 0.659 0.177  0.00
H 0.641 0.299 0.902  0.00
H 0.357 0.706 0.107  0.00
H 0.942 0.344 0.826  0.00
H 0.498 0.512 0.505  0.00
K 0.023 0.002 0.497  0.00
Mn 0.000 0.004 0.003  4.61
S 0.375 0.681 0.755  0.01
S 0.621 0.324 0.249  0.01

Computed properties:
Total energy   -8.16 eV per atom
Magnetic moment   0.26 μB per atom



Entry 9:
Here is LiLaSe2 at its PBEsol-relaxed geometry from Alexandria. Energies are from meta-GGA SCAN.

Unit cell a=4.131 b=4.131 c=6.072 alpha=109.89 beta=109.89 gamma=90.00
Element x y z (fractional)
Se 0.750 0.250 0.500
Se 0.000 0.000 0.000
La 0.500 0.500 0.000
Li 0.250 0.750 0.500

Computed properties:
Raw formation energy   -6.16 eV per formula unit
Magnetic moment   0.00 μB per atom



Entry 10:
Here is BaI2NO at its PBEsol-relaxed geometry from Alexandria. Energies are from meta-GGA SCAN.

Unit cell a=5.424 b=6.658 c=6.658 alpha=90.00 beta=90.00 gamma=90.00
Last column: magnetic moment on the atom in μB.
Element x y z (fractional)
N 0.500 0.000 0.000  1.69
Ba 0.000 0.000 0.000  0.02
O 0.500 0.500 0.500  1.54
I 0.000 0.000 0.500  0.16
I 0.000 0.500 0.000  0.16

Computed properties:
Raw formation energy   2.91 eV per formula unit
Magnetic moment   1.00 μB per atom



Entry 11:
Here is Tl2ReTc at its PBEsol-relaxed geometry from Alexandria. Energies are from meta-GGA SCAN.

Unit cell a=3.028 b=4.682 c=5.094 alpha=90.00 beta=90.00 gamma=90.00
Last column: magnetic moment on the atom in μB.
Element x y z (fractional)
Tl 0.000 0.000 0.000  -0.01
Tl 0.500 0.000 0.500  -0.03
Tc 0.000 0.500 0.500  1.33
Re 0.500 0.500 0.000  0.60

Computed properties:
Magnetic moment   0.51 μB per atom
Formation energy   1.104 eV/atom



Entry 12:
Here is Na9Ni7O16 at its PBEsol-relaxed geometry from Alexandria. Energies are from meta-GGA SCAN.

Unit cell a=6.836 b=6.880 c=7.836 alpha=65.83 beta=76.39 gamma=69.75
Last column: magnetic moment on the atom in μB.
Element x y z (fractional)
Na 0.000 0.500 0.000  0.00
Na 0.319 0.681 0.427  0.01
Na 0.943 0.071 0.311  0.00
Na 0.420 0.562 0.816  0.00
Na 0.681 0.319 0.573  0.01
Na 0.057 0.929 0.689  0.00
Na 0.183 0.797 0.068  0.00
Na 0.817 0.203 0.932  0.00
Na 0.580 0.438 0.184  0.00
O 0.860 0.446 0.293  -0.07
O 0.281 0.413 0.136  -0.07
O 0.140 0.554 0.707  -0.07
O 0.857 0.846 0.984  -0.05
O 0.623 0.701 0.510  -0.03
O 0.499 0.815 0.137  0.01
O 0.377 0.299 0.490  -0.03
O 0.719 0.587 0.864  -0.07
O 0.998 0.699 0.365  0.05
O 0.143 0.154 0.016  -0.05
O 0.740 0.958 0.607  0.06
O 0.365 0.940 0.774  0.03
O 0.260 0.042 0.393  0.06
O 0.002 0.301 0.635  0.05
O 0.501 0.185 0.863  0.01
O 0.635 0.060 0.226  0.03
Ni 0.500 0.000 0.500  0.89
Ni 0.248 0.244 0.752  0.55
Ni 0.126 0.370 0.380  0.89
Ni 0.874 0.630 0.620  0.89
Ni 0.621 0.881 0.872  0.65
Ni 0.379 0.119 0.128  0.65
Ni 0.752 0.756 0.248  0.55

Computed properties:
Raw formation energy   -46.55 eV per formula unit
Magnetic moment   0.16 μB per atom



Entry 13:
Here is HgRhAuCl2 at its PBEsol-relaxed geometry from Alexandria. Energies are from meta-GGA SCAN.

Unit cell a=4.484 b=4.484 c=5.517 alpha=90.00 beta=90.00 gamma=90.00
Element x y z (fractional)
Cl 0.000 0.500 0.000
Cl 0.500 0.000 0.000
Hg 0.000 0.000 0.500
Au 0.500 0.500 0.500
Rh 0.000 0.000 0.000

Computed properties:
Raw formation energy   0.99 eV per formula unit
Magnetic moment   0.00 μB per atom



Entry 14:
Here is Nb2TlGaAu at its PBEsol-relaxed geometry from Alexandria. Energies are from meta-GGA SCAN.

Unit cell a=4.612 b=4.801 c=4.801 alpha=90.00 beta=90.00 gamma=90.00
Element x y z (fractional)
Nb 0.000 0.000 0.500
Nb 0.000 0.500 0.000
Au 0.500 0.000 0.000
Ga 0.000 0.000 0.000
Tl 0.500 0.500 0.500

Computed properties:
Magnetic moment   0.00 μB per atom
Formation energy   0.757 eV/atom



Entry 15:
Here is Ca3LaB at its PBEsol-relaxed geometry from Alexandria. Energies are from meta-GGA SCAN.

Unit cell a=5.380 b=5.380 c=5.380 alpha=90.00 beta=90.00 gamma=90.00
Element x y z (fractional)
La 0.500 0.500 0.500
Ca 0.000 0.500 0.000
Ca 0.000 0.000 0.500
Ca 0.500 0.000 0.000
B 0.000 0.000 0.000

Computed properties:
Magnetic moment   0.00 μB per atom
Formation energy   0.328 eV/atom



Entry 16:
Here is Li2VF6 at its PBEsol-relaxed geometry from Alexandria. Energies are from meta-GGA SCAN.

Unit cell a=4.386 b=4.843 c=4.843 alpha=120.00 beta=90.00 gamma=90.00
Last column: magnetic moment on the atom in μB.
Element x y z (fractional)
F 0.755 0.000 0.688  -0.01
F 0.245 0.688 0.688  -0.01
F 0.755 0.688 0.000  -0.01
F 0.245 0.000 0.312  -0.01
F 0.245 0.312 0.000  -0.01
F 0.755 0.312 0.312  -0.01
V 0.000 0.000 0.000  1.01
Li 0.500 0.333 0.667  0.00
Li 0.500 0.667 0.333  0.00

Computed properties:
Raw formation energy   -28.12 eV per formula unit
Magnetic moment   0.11 μB per atom



Entry 17:
Here is LaY2Tl at its PBEsol-relaxed geometry from Alexandria. Energies are from meta-GGA SCAN.

Unit cell a=3.665 b=4.675 c=6.819 alpha=90.00 beta=90.00 gamma=90.00
Element x y z (fractional)
Y 0.500 0.500 0.244
Y 0.000 0.000 0.987
La 0.000 0.000 0.510
Tl 0.500 0.500 0.760

Computed properties:
Magnetic moment   0.00 μB per atom
Formation energy   -0.273 eV/atom



Entry 18:
Here is KSr2Bi3O9 at its PBEsol-relaxed geometry from Alexandria. Energies are from meta-GGA SCAN.

Unit cell a=6.061 b=6.061 c=7.430 alpha=90.00 beta=90.00 gamma=120.00
Element x y z (fractional)
O 0.825 0.175 0.649
O 0.650 0.825 0.351
O 0.175 0.350 0.351
O 0.825 0.650 0.649
O 0.350 0.175 0.649
O 0.500 0.500 0.000
O 0.000 0.500 0.000
O 0.175 0.825 0.351
O 0.500 0.000 0.000
K 0.000 0.000 0.000
Bi 0.333 0.667 0.161
Bi 0.000 0.000 0.500
Bi 0.667 0.333 0.839
Sr 0.333 0.667 0.641
Sr 0.667 0.333 0.359

Computed properties:
Raw formation energy   -24.38 eV per formula unit
Magnetic moment   0.00 μB per atom



Entry 19:
Here is KY2Pb at its PBEsol-relaxed geometry from Alexandria. Energies are from meta-GGA SCAN.

Unit cell a=3.526 b=4.097 c=10.046 alpha=90.00 beta=90.00 gamma=90.00
Last column: magnetic moment on the atom in μB.
Element x y z (fractional)
Y 0.000 0.000 0.673  0.34
Y 0.000 0.000 0.327  0.34
K 0.500 0.500 0.000  0.01
Pb 0.500 0.500 0.500  -0.01

Computed properties:
Magnetic moment   0.30 μB per atom
Formation energy   -0.095 eV/atom



Entry 20:
Here is BeCrTeN2 at its PBEsol-relaxed geometry from Alexandria. Energies are from meta-GGA SCAN.

Unit cell a=3.603 b=3.603 c=5.462 alpha=90.00 beta=90.00 gamma=90.00
Last column: magnetic moment on the atom in μB.
Element x y z (fractional)
N 0.000 0.500 0.000  0.74
N 0.500 0.000 0.000  0.74
Be 0.500 0.500 0.500  -0.02
Cr 0.000 0.000 0.000  -1.77
Te 0.000 0.000 0.500  0.09

Computed properties:
Raw formation energy   2.46 eV per formula unit
Magnetic moment   0.04 μB per atom



| no. | DOS(E_F) (states/eV/f.u.) |
| --- | --- |
| 1 | 3.8 |
| 2 | 3.5 |
| 3 | 3.7 |
| 4 | 1.5 |
| 5 | 3.6 |
| 6 | 2.5 |
| 7 | 1.8 |
| 8 | 0.0 |
| 9 | 0.4 |
| 10 | 6.6 |
| 11 | 2.6 |
| 12 | 7.3 |
| 13 | 4.8 |
| 14 | 4.6 |
| 15 | 4.6 |
| 16 | 6.2 |
| 17 | 5.5 |
| 18 | 1.1 |
| 19 | 3.8 |
| 20 | 1.6 |